No. 1
! CdNi2Sb meta-GGA SCAN single point on PBEsol structure; values from VASP
! * raw formation energy: 112.6 meV per atom
! * final energy: -99.57 eV per formula unit
! * D(E_F): 1.82 states/eV/f.u.
! * magnetic moment: 0.0 μB/f.u.
! * SG: No. 99
&SYSTEM
  ibrav = 0, nat = 4, ntyp = 3
/
ATOMIC_SPECIES
Ni 58.69 Ni.upf
Sb 121.76 Sb.upf
Cd 112.41 Cd.upf
ATOMIC_POSITIONS angstrom
Ni -2.315 -1.295 -0.305
Sb -0.369 -2.757 0.607
Cd -2.836 -5.191 0.552
Ni -0.032 -0.241 0.053
CELL_PARAMETERS angstrom
-2.694 0.680 1.452
-1.551 -0.386 -2.697
-0.871 -6.518 1.434

---

No. 2
! Fe2OsPb meta-GGA SCAN single point on PBEsol structure; values from VASP
! * ΔE_f: 579 meV/atom
! * final energy: -181.60 eV per formula unit
! * D(E_F): 2.88 states/eV/f.u.
! * magnetic moment: 5.7 μB/f.u.
! * SG: No. 25
&SYSTEM
  ibrav = 0, nat = 4, ntyp = 3
/
ATOMIC_SPECIES
Fe 55.84 Fe.upf
Os 190.23 Os.upf
Pb 207.20 Pb.upf
ATOMIC_POSITIONS angstrom
Fe 2.500 0.000 0.061
Os 1.034 0.000 2.091
Fe 2.476 2.106 1.389
Pb 1.006 2.106 3.877
CELL_PARAMETERS angstrom
2.856 0.000 0.051
0.000 4.213 0.000
-0.083 0.000 4.860

---

No. 3
! Be3Cr4 meta-GGA SCAN single point on PBEsol structure; values from VASP
! * ΔE_f: -9 meV/atom
! * final energy: -86.66 eV per formula unit
! * D(E_F): 7.10 states/eV/f.u.
! * magnetic moment: 0.0 μB/f.u.
! * SG: No. 191
&SYSTEM
  ibrav = 0, nat = 7, ntyp = 2
/
ATOMIC_SPECIES
Be 9.01 Be.upf
Cr 52.00 Cr.upf
ATOMIC_POSITIONS angstrom
Be 0.000 -1.068 1.849
Be 0.000 2.135 0.000
Cr 2.132 0.000 2.466
Cr 3.189 0.000 0.000
Cr 1.075 0.000 0.000
Cr 2.132 2.136 1.233
Be 0.000 1.068 1.849
CELL_PARAMETERS angstrom
4.265 0.000 0.000
0.000 4.271 0.000
0.000 -2.135 3.699

---

No. 4
! InSb2S4Br meta-GGA SCAN single point on PBEsol structure; values from VASP
! * raw formation energy: -435.3 meV per atom
! * final energy: -169.36 eV per formula unit
! * magnetic moment: 0.0 μB/f.u.
! * SG: No. 12
&SYSTEM
  ibrav = 0, nat = 8, ntyp = 4
/
ATOMIC_SPECIES
S 32.06 S.upf
In 114.82 In.upf
Sb 121.76 Sb.upf
Br 79.90 Br.upf
ATOMIC_POSITIONS angstrom
S -4.159 -0.038 2.067
In 0.000 0.000 0.000
S -4.385 -3.813 0.763
Sb -2.439 -1.986 2.257
Sb -7.053 -4.505 5.876
Br -4.746 -3.246 4.066
S -5.107 -2.679 7.369
S -5.333 -6.453 6.066
CELL_PARAMETERS angstrom
-3.791 0.393 -0.482
-2.668 -5.808 0.940
-3.033 -1.076 7.674

---

No. 5
! V3Mo meta-GGA SCAN single point on PBEsol structure; values from VASP
! * ΔE_f: -77 meV/atom
! * final energy: -87.66 eV per formula unit
! * D(E_F): 5.72 states/eV/f.u.
! * magnetic moment: 0.6 μB/f.u.
! * SG: No. 225
&SYSTEM
  ibrav = 0, nat = 4, ntyp = 2
/
ATOMIC_SPECIES
V 50.94 V.upf
Mo 95.94 Mo.upf
ATOMIC_POSITIONS angstrom
V 4.239 2.447 1.730
V 2.119 1.224 0.865
Mo 0.000 0.000 0.000
V 6.358 3.671 2.596
CELL_PARAMETERS angstrom
4.239 0.000 0.000
2.119 3.671 0.000
2.119 1.224 3.461

---

No. 6
! ScBeRe2 meta-GGA SCAN single point on PBEsol structure; values from VASP
! * ΔE_f: -48 meV/atom
! * final energy: -160.98 eV per formula unit
! * D(E_F): 1.42 states/eV/f.u.
! * magnetic moment: 0.0 μB/f.u.
! * SG: No. 123
&SYSTEM
  ibrav = 0, nat = 4, ntyp = 3
/
ATOMIC_SPECIES
Sc 44.96 Sc.upf
Re 186.21 Re.upf
Be 9.01 Be.upf
ATOMIC_POSITIONS angstrom
Sc -1.042 -1.588 1.100
Re -0.867 1.276 1.020
Be -2.455 0.491 2.762
Re -1.959 2.882 2.304
CELL_PARAMETERS angstrom
-2.676 -1.528 -0.364
0.592 -1.647 2.563
-2.826 4.158 3.324

---

No. 7
! RbCaSb3 meta-GGA SCAN single point on PBEsol structure; values from VASP
! * raw formation energy: 879.3 meV per atom
! * final energy: -137.79 eV per formula unit
! * D(E_F): 3.40 states/eV/f.u.
! * magnetic moment: 0.0 μB/f.u.
! * SG: No. 221
&SYSTEM
  ibrav = 0, nat = 5, ntyp = 3
/
ATOMIC_SPECIES
Rb 85.47 Rb.upf
Sb 121.76 Sb.upf
Ca 40.08 Ca.upf
ATOMIC_POSITIONS angstrom
Rb 0.000 0.000 0.000
Sb -1.413 1.505 2.030
Ca -4.582 1.970 -0.521
Sb -0.758 1.966 -1.985
Sb -2.410 -1.501 -0.565
CELL_PARAMETERS angstrom
-1.517 3.932 -3.971
-4.821 -3.002 -1.131
-2.826 3.010 4.060

---

No. 8
! Re2POs meta-GGA SCAN single point on PBEsol structure; values from VASP
! * ΔE_f: 441 meV/atom
! * final energy: -222.71 eV per formula unit
! * D(E_F): 2.49 states/eV/f.u.
! * magnetic moment: 0.0 μB/f.u.
! * SG: No. 47
&SYSTEM
  ibrav = 0, nat = 4, ntyp = 3
/
ATOMIC_SPECIES
Os 190.23 Os.upf
Re 186.21 Re.upf
P 30.97 P.upf
ATOMIC_POSITIONS angstrom
Os 1.453 0.000 2.201
Re 1.453 2.180 0.000
P 0.000 2.180 2.201
Re 0.000 0.000 0.000
CELL_PARAMETERS angstrom
2.906 0.000 0.000
0.000 4.359 0.000
0.000 0.000 4.402